First-principles (SCAN) data for a PBEsol-optimized structure of NbAsPCl2, as listed in the Alexandria database.

Unit cell a=4.6763 b=4.6763 c=5.1112 alpha=90.00 beta=90.00 gamma=90.00
Atoms (fractional coordinates):
1 Nb 0.0000 0.0000 0.0000
2 As 0.5000 0.5000 0.5000
3 P 0.0000 0.0000 0.5000
4 Cl 0.0000 0.5000 0.0000
5 Cl 0.5000 0.0000 0.0000

## Properties
Raw total energy ... -1.168 Ry/atom
Formation energy (no corrections) ... 44 meV per atom
ρ ... 4.01 Mg/m³
Fermi-level density of states ... 2.3 states/eV/f.u.
Magnetic moment ... 2.57 Bohr magnetons per cell
Offset from the most stable computed form ... 0 meV/atom

First-principles (SCAN) data for a PBEsol-optimized structure of La3Ga2Ni4, as listed in the Alexandria database.

Unit cell a=5.4653 b=5.4653 c=8.1349 alpha=97.82 beta=97.82 gamma=44.89
Atoms (fractional coordinates):
1 La 0.0000 0.0000 0.0000
2 La 0.3750 0.3750 0.6201
3 La 0.6250 0.6250 0.3799
4 Ga 0.3243 0.3243 0.2129
5 Ga 0.6757 0.6757 0.7871
6 Ni 0.0835 0.0835 0.6370
7 Ni 0.2573 0.2573 0.9126
8 Ni 0.7427 0.7427 0.0874
9 Ni 0.9165 0.9165 0.3630

## Properties
Raw total energy ... -1.890 Ry/atom
Formation enthalpy at 0 K ... -4.7 eV per formula unit
ρ ... 7.74 Mg/m³
Fermi-level density of states ... 6.6 states/eV/f.u.
Magnetic moment ... 0.00 Bohr magnetons per cell

First-principles (SCAN) data for a PBEsol-optimized structure of YZn2Ru, as listed in the Alexandria database.

Unit cell a=4.5528 b=4.5528 c=4.5528 alpha=60.00 beta=60.00 gamma=60.00
Atoms (fractional coordinates):
1 Y 0.0000 0.0000 0.0000
2 Zn 0.2500 0.2500 0.2500
3 Zn 0.5000 0.5000 0.5000
4 Ru 0.7500 0.7500 0.7500

## Properties
Raw total energy ... -1.655 Ry/atom
Formation enthalpy at 0 K ... -0.4 eV per formula unit
ρ ... 7.98 Mg/m³
Fermi-level density of states ... 2.7 states/eV/f.u.
Magnetic moment ... 0.00 Bohr magnetons per cell

First-principles (SCAN) data for a PBEsol-optimized structure of Be2TlCd, as listed in the Alexandria database.

Unit cell a=2.8889 b=4.1998 c=5.7687 alpha=90.00 beta=90.00 gamma=90.00
Atoms (fractional coordinates):
1 Be 0.0000 0.0000 0.0000
2 Be 0.5000 0.0000 0.5000
3 Tl 0.0000 0.5000 0.5000
4 Cd 0.5000 0.5000 0.0000

## Properties
Raw total energy ... -2.001 Ry/atom
Formation enthalpy at 0 K ... 2.6 eV per formula unit
ρ ... 7.94 Mg/m³
Fermi-level density of states ... 1.2 states/eV/f.u.
Magnetic moment ... 0.00 Bohr magnetons per cell
Offset from the most stable computed form ... 78 meV/atom

First-principles (SCAN) data for a PBEsol-optimized structure of CrHgAs2, as listed in the Alexandria database.

Unit cell a=9.1738 b=9.1738 c=9.1738 alpha=162.57 beta=160.23 gamma=26.47
Atoms (fractional coordinates):
1 Cr 0.0000 0.0000 0.0000
2 Hg 0.2298 0.7298 0.5000
3 As 0.5718 0.5718 0.0000
4 As 0.8870 0.3870 0.5000

## Properties
Raw total energy ... -2.326 Ry/atom
Formation enthalpy at 0 K ... 0.3 eV per formula unit
ρ ... 8.55 Mg/m³
Fermi-level density of states ... 2.0 states/eV/f.u.
Magnetic moment ... 2.16 Bohr magnetons per cell

First-principles (SCAN) data for a PBEsol-optimized structure of BeSbAs2, as listed in the Alexandria database.

Unit cell a=2.9984 b=2.9984 c=8.8283 alpha=90.00 beta=90.00 gamma=90.00
Atoms (fractional coordinates):
1 Be 0.0000 0.0000 0.0000
2 Sb 0.5000 0.5000 0.4328
3 As 0.0000 0.0000 0.7505
4 As 0.5000 0.5000 0.1245

## Properties
Raw total energy ... -1.489 Ry/atom
Formation energy (no corrections) ... 236 meV per atom
ρ ... 5.87 Mg/m³
Fermi-level density of states ... 0.9 states/eV/f.u.
Magnetic moment ... 0.00 Bohr magnetons per cell
Offset from the most stable computed form ... 235 meV/atom

First-principles (SCAN) data for a PBEsol-optimized structure of KNiMo3, as listed in the Alexandria database.

Unit cell a=4.3370 b=4.3370 c=4.3370 alpha=90.00 beta=90.00 gamma=90.00
Atoms (fractional coordinates):
1 K 0.0000 0.0000 0.0000
2 Ni 0.5000 0.5000 0.5000
3 Mo 0.0000 0.0000 0.5000
4 Mo 0.0000 0.5000 0.0000
5 Mo 0.5000 0.0000 0.0000

## Properties
Raw total energy ... -1.651 Ry/atom
Formation enthalpy at 0 K ... 16.8 eV per formula unit
ρ ... 7.85 Mg/m³
Fermi-level density of states ... 4.1 states/eV/f.u.
Magnetic moment ... 0.00 Bohr magnetons per cell

First-principles (SCAN) data for a PBEsol-optimized structure of CdReHg2, as listed in the Alexandria database.

Unit cell a=2.8427 b=4.3759 c=5.9453 alpha=90.00 beta=90.71 gamma=90.00
Atoms (fractional coordinates):
1 Cd 0.0000 0.0000 0.0000
2 Re 0.4941 0.5000 0.7659
3 Hg 0.4985 0.5000 0.2606
4 Hg 0.9890 0.0000 0.5351

## Properties
Raw total energy ... -4.315 Ry/atom
Formation enthalpy at 0 K ... 3.0 eV per formula unit
ρ ... 15.71 Mg/m³
Fermi-level density of states ... 2.0 states/eV/f.u.
Magnetic moment ... 0.00 Bohr magnetons per cell

First-principles (SCAN) data for a PBEsol-optimized structure of NaPH2Pt, as listed in the Alexandria database.

Unit cell a=3.4750 b=3.4750 c=6.1198 alpha=90.00 beta=90.00 gamma=90.00
Atoms (fractional coordinates):
1 Na 0.0000 0.0000 0.0000
2 P 0.5000 0.5000 0.5000
3 H 0.0000 0.5000 0.0000
4 H 0.5000 0.0000 0.0000
5 Pt 0.0000 0.0000 0.5000

## Properties
Raw total energy ... -1.288 Ry/atom
ρ ... 5.64 Mg/m³
Fermi-level density of states ... 1.4 states/eV/f.u.
Magnetic moment ... 1.12 Bohr magnetons per cell

First-principles (SCAN) data for a PBEsol-optimized structure of K2ScRh, as listed in the Alexandria database.

Unit cell a=3.0060 b=3.0060 c=11.8684 alpha=90.00 beta=90.00 gamma=90.00
Atoms (fractional coordinates):
1 K 0.0000 0.0000 0.2007
2 K 0.0000 0.0000 0.7993
3 Sc 0.5000 0.5000 0.5000
4 Rh 0.5000 0.5000 0.0000

## Properties
Raw total energy ... -1.129 Ry/atom
Formation enthalpy at 0 K ... 3.2 eV per formula unit
ρ ... 3.50 Mg/m³
Fermi-level density of states ... 3.8 states/eV/f.u.
Magnetic moment ... 0.98 Bohr magnetons per cell
Offset from the most stable computed form ... 0 meV/atom

First-principles (SCAN) data for a PBEsol-optimized structure of BaNi10P6, as listed in the Alexandria database.

Unit cell a=8.6175 b=8.6175 c=8.6676 alpha=90.00 beta=90.00 gamma=136.75
Atoms (fractional coordinates):
1 Ba 0.0000 0.0000 0.0000
2 Ba 0.5000 0.5000 0.5000
3 Ni 0.0229 0.3729 0.4711
4 Ni 0.0456 0.9544 0.6178
5 Ni 0.0877 0.4123 0.7500
6 Ni 0.1271 0.4771 0.0289
7 Ni 0.2098 0.7902 0.7947
8 Ni 0.2902 0.7098 0.2947
9 Ni 0.3729 0.0229 0.5289
10 Ni 0.4123 0.0877 0.2500
11 Ni 0.4544 0.5456 0.1178
12 Ni 0.4771 0.1271 0.9711
13 Ni 0.5229 0.8729 0.0289
14 Ni 0.5456 0.4544 0.8822
15 Ni 0.5877 0.9123 0.7500
16 Ni 0.6271 0.9771 0.4711
17 Ni 0.7098 0.2902 0.7053
18 Ni 0.7902 0.2098 0.2053
19 Ni 0.8729 0.5229 0.9711
20 Ni 0.9123 0.5877 0.2500
21 Ni 0.9544 0.0456 0.3822
22 Ni 0.9771 0.6271 0.5289
23 P 0.0898 0.9102 0.3717
24 P 0.1405 0.3595 0.2500
25 P 0.2084 0.7916 0.0746
26 P 0.2916 0.7084 0.5746
27 P 0.3595 0.1405 0.7500
28 P 0.4102 0.5898 0.8717
29 P 0.5898 0.4102 0.1283
30 P 0.6405 0.8595 0.2500
31 P 0.7084 0.2916 0.4254
32 P 0.7916 0.2084 0.9254
33 P 0.8595 0.6405 0.7500
34 P 0.9102 0.0898 0.6283

## Properties
Raw total energy ... -1.189 Ry/atom
Formation enthalpy at 0 K ... -11.2 eV per formula unit
ρ ... 6.85 Mg/m³
Fermi-level density of states ... 8.1 states/eV/f.u.
Magnetic moment ... 0.00 Bohr magnetons per cell

First-principles (SCAN) data for a PBEsol-optimized structure of Ba2ErRuO6, as listed in the Alexandria database.

Unit cell a=5.8532 b=5.8532 c=5.8532 alpha=60.00 beta=60.00 gamma=60.00
Atoms (fractional coordinates):
1 Ba 0.2500 0.2500 0.2500
2 Ba 0.7500 0.7500 0.7500
3 Er 0.0000 0.0000 0.0000
4 Ru 0.5000 0.5000 0.5000
5 O 0.2642 0.2642 0.7358
6 O 0.2642 0.7358 0.2642
7 O 0.2642 0.7358 0.7358
8 O 0.7358 0.2642 0.2642
9 O 0.7358 0.2642 0.7358
10 O 0.7358 0.7358 0.2642

## Properties
Raw total energy ... -1.687 Ry/atom
Formation energy (no corrections) ... -2783 meV per atom
ρ ... 7.48 Mg/m³
Magnetic moment ... 3.00 Bohr magnetons per cell

> What is the formula in the first record?

NbAsPCl2